Here is TaB3W after structural relaxation from Alexandria. Energies are from GGA-PBE.

abc: 4.064 4.064 4.064
angles: 90.00 90.00 90.00
Atoms (fractional coordinates):
B 0.000 0.500 0.000
B 0.000 0.000 0.500
B 0.500 0.000 0.000
W 0.500 0.500 0.500
Ta 0.000 0.000 0.000

Properties
Calculated formation energy: 9.06 eV per formula unit
Crystal system: cubic
Space group: No. 221
Total DFT energy (no corrections): -7.1553 eV/atom



Here is TaB3W5 after structural relaxation from Alexandria. Energies are from GGA-PBE.

abc: 5.877 5.878 8.458
angles: 103.24 102.17 111.55
Atoms (fractional coordinates):
Ta 0.943 0.758 0.701
Ta 0.057 0.242 0.299
B 0.325 0.465 0.790
B 0.226 0.972 0.198
B 0.000 0.000 0.000
B 0.000 0.500 0.500
B 0.675 0.535 0.210
B 0.774 0.028 0.802
W 0.580 0.333 0.390
W 0.302 0.302 0.000
W 0.234 0.735 0.969
W 0.505 0.799 0.304
W 0.495 0.201 0.696
W 0.766 0.265 0.031
W 0.058 0.810 0.390
W 0.698 0.698 0.000
W 0.420 0.667 0.610
W 0.942 0.190 0.610

Properties
Calculated formation energy: 2.00 eV per formula unit
Crystal system: monoclinic
Space group: No. 12
Total DFT energy (no corrections): -10.5166 eV/atom



Here is Ta2BW2 after structural relaxation from Alexandria. Energies are from GGA-PBE.

abc: 3.554 3.554 7.358
angles: 76.02 76.02 90.00
Atoms (fractional coordinates):
B 0.000 0.000 0.000
W 0.414 0.414 0.173
W 0.586 0.586 0.827
Ta 0.750 0.250 0.500
Ta 0.250 0.750 0.500

Properties
Calculated formation energy: 8.16 eV per formula unit
Crystal system: tetragonal
Space group: No. 139
Total DFT energy (no corrections): -9.6258 eV/atom



Here is YTa3B after structural relaxation from Alexandria. Energies are from GGA-PBE.

abc: 4.886 4.886 4.886
angles: 90.00 90.00 90.00
Atoms (fractional coordinates):
Y 0.000 0.000 0.000
B 0.500 0.500 0.500
Ta 0.000 0.500 0.000
Ta 0.000 0.000 0.500
Ta 0.500 0.000 0.000

Properties
Calculated formation energy: 16.42 eV per formula unit
Crystal system: cubic
Space group: No. 221
Total DFT energy (no corrections): -6.4561 eV/atom